1.
Material: ZnIrPb2
Method: DFT, meta-GGA SCAN
State: PBEsol geometry

Geometry as CIF:
```
data_ZnIrPb2
_chemical_formula_sum 'Zn2 Ir2 Pb4'
_cell_length_a 6.9005
_cell_length_b 6.9221
_cell_length_c 3.4015
_cell_angle_alpha 90.00
_cell_angle_beta 90.10
_cell_angle_gamma 90.00
_space_group_name_H-M_alt 'P 1'
_space_group_IT_number 1
_space_group_name_Hall 'P 1'
loop_
_atom_site_label
_atom_site_type_symbol
_atom_site_fract_x
_atom_site_fract_y
_atom_site_fract_z
_atom_site_occupancy
Zn1 Zn 0.0000 0.0000 0.0000 1
Zn2 Zn 0.5000 0.5000 0.0000 1
Ir1 Ir 0.0000 0.5000 0.0000 1
Ir2 Ir 0.5000 0.0000 0.0000 1
Pb1 Pb 0.2500 0.2500 0.5000 1
Pb2 Pb 0.2500 0.7500 0.5000 1
Pb3 Pb 0.7500 0.2500 0.5000 1
Pb4 Pb 0.7500 0.7500 0.5000 1
```

Results
Total magnetic moment ... 0.00 μB/f.u.
Space-group type ... C2/m
E_form ... 0.561 eV/atom

---

2.
Material: ZrIrPb
Method: DFT, meta-GGA SCAN
State: PBEsol geometry

Geometry as CIF:
```
data_ZrIrPb
_chemical_formula_sum 'Zr1 Ir1 Pb1'
_cell_length_a 4.6476
_cell_length_b 4.6476
_cell_length_c 3.0547
_cell_angle_alpha 90.00
_cell_angle_beta 90.00
_cell_angle_gamma 120.00
_space_group_name_H-M_alt 'P 1'
_space_group_IT_number 1
_space_group_name_Hall 'P 1'
loop_
_atom_site_label
_atom_site_type_symbol
_atom_site_fract_x
_atom_site_fract_y
_atom_site_fract_z
_atom_site_occupancy
Zr1 Zr 0.0000 0.0000 0.0000 1
Ir1 Ir 0.6667 0.3333 0.5000 1
Pb1 Pb 0.3333 0.6667 0.5000 1
```

Results
Total magnetic moment ... 0.00 μB/f.u.
Space-group type ... P-6m2
E_form ... -0.387 eV/atom

---

3.
Material: ZrIrPb
Method: DFT, meta-GGA SCAN
State: PBEsol geometry

Geometry as CIF:
```
data_ZrIrPb
_chemical_formula_sum 'Zr1 Ir1 Pb1'
_cell_length_a 3.5131
_cell_length_b 3.5131
_cell_length_c 6.3107
_cell_angle_alpha 90.00
_cell_angle_beta 90.00
_cell_angle_gamma 120.00
_space_group_name_H-M_alt 'P 1'
_space_group_IT_number 1
_space_group_name_Hall 'P 1'
loop_
_atom_site_label
_atom_site_type_symbol
_atom_site_fract_x
_atom_site_fract_y
_atom_site_fract_z
_atom_site_occupancy
Zr1 Zr 0.0000 0.0000 0.0000 1
Ir1 Ir 0.3333 0.6667 0.7542 1
Pb1 Pb 0.6667 0.3333 0.4144 1
```

Results
Total magnetic moment ... 0.00 μB/f.u.
Space-group type ... P3m1
E_form ... -0.186 eV/atom

---

4.
Material: ZrIrPb
Method: DFT, meta-GGA SCAN
State: PBEsol geometry

Geometry as CIF:
```
data_ZrIrPb
_chemical_formula_sum 'Zr2 Ir2 Pb2'
_cell_length_a 3.1538
_cell_length_b 3.4116
_cell_length_c 11.3905
_cell_angle_alpha 90.00
_cell_angle_beta 90.00
_cell_angle_gamma 90.00
_space_group_name_H-M_alt 'P 1'
_space_group_IT_number 1
_space_group_name_Hall 'P 1'
loop_
_atom_site_label
_atom_site_type_symbol
_atom_site_fract_x
_atom_site_fract_y
_atom_site_fract_z
_atom_site_occupancy
Zr1 Zr 0.0000 0.0000 0.0000 1
Zr2 Zr 0.5000 0.5000 0.5000 1
Ir1 Ir 0.0000 0.0000 0.3783 1
Ir2 Ir 0.5000 0.5000 0.8783 1
Pb1 Pb 0.0000 0.0000 0.7046 1
Pb2 Pb 0.5000 0.5000 0.2046 1
```

Results
Total magnetic moment ... 0.00 μB/f.u.
Space-group type ... Imm2
E_form ... -0.330 eV/atom

---

5.
Material: Pm2IrPd
Method: DFT, meta-GGA SCAN
State: PBEsol geometry

Geometry as CIF:
```
data_Pm2IrPd
_chemical_formula_sum 'Pm8 Ir4 Pd4'
_cell_length_a 6.9908
_cell_length_b 6.9908
_cell_length_c 6.9908
_cell_angle_alpha 90.00
_cell_angle_beta 90.00
_cell_angle_gamma 90.00
_space_group_name_H-M_alt 'P 1'
_space_group_IT_number 1
_space_group_name_Hall 'P 1'
loop_
_atom_site_label
_atom_site_type_symbol
_atom_site_fract_x
_atom_site_fract_y
_atom_site_fract_z
_atom_site_occupancy
Pm1 Pm 0.2500 0.2500 0.2500 1
Pm2 Pm 0.2500 0.2500 0.7500 1
Pm3 Pm 0.2500 0.7500 0.2500 1
Pm4 Pm 0.2500 0.7500 0.7500 1
Pm5 Pm 0.7500 0.2500 0.2500 1
Pm6 Pm 0.7500 0.2500 0.7500 1
Pm7 Pm 0.7500 0.7500 0.2500 1
Pm8 Pm 0.7500 0.7500 0.7500 1
Ir1 Ir 0.0000 0.0000 0.0000 1
Ir2 Ir 0.0000 0.5000 0.5000 1
Ir3 Ir 0.5000 0.0000 0.5000 1
Ir4 Ir 0.5000 0.5000 0.0000 1
Pd1 Pd 0.0000 0.0000 0.5000 1
Pd2 Pd 0.0000 0.5000 0.0000 1
Pd3 Pd 0.5000 0.0000 0.0000 1
Pd4 Pd 0.5000 0.5000 0.5000 1
```

Results
Total magnetic moment ... 0.00 μB/f.u.
Space-group type ... Fm-3m
E_form ... -0.871 eV/atom

---

6.
Material: SnIr2PdPt
Method: DFT, meta-GGA SCAN
State: PBEsol geometry

Geometry as CIF:
```
data_SnIr2PdPt
_chemical_formula_sum 'Sn1 Ir2 Pd1 Pt1'
_cell_length_a 4.6891
_cell_length_b 4.6891
_cell_length_c 4.7284
_cell_angle_alpha 90.00
_cell_angle_beta 90.00
_cell_angle_gamma 90.00
_space_group_name_H-M_alt 'P 1'
_space_group_IT_number 1
_space_group_name_Hall 'P 1'
loop_
_atom_site_label
_atom_site_type_symbol
_atom_site_fract_x
_atom_site_fract_y
_atom_site_fract_z
_atom_site_occupancy
Sn1 Sn 0.0000 0.0000 0.0000 1
Ir1 Ir 0.0000 0.5000 0.5000 1
Ir2 Ir 0.5000 0.0000 0.5000 1
Pd1 Pd 0.0000 0.0000 0.5000 1
Pt1 Pt 0.5000 0.5000 0.0000 1
```

Results
Total magnetic moment ... 2.70 μB/f.u.
Space-group type ... P4/mmm
E_form ... 1.851 eV/atom

---

7.
Material: Rb3IrPd
Method: DFT, meta-GGA SCAN
State: PBEsol geometry

Geometry as CIF:
```
data_Rb3IrPd
_chemical_formula_sum 'Rb3 Ir1 Pd1'
_cell_length_a 6.0270
_cell_length_b 6.0270
_cell_length_c 6.0270
_cell_angle_alpha 90.00
_cell_angle_beta 90.00
_cell_angle_gamma 90.00
_space_group_name_H-M_alt 'P 1'
_space_group_IT_number 1
_space_group_name_Hall 'P 1'
loop_
_atom_site_label
_atom_site_type_symbol
_atom_site_fract_x
_atom_site_fract_y
_atom_site_fract_z
_atom_site_occupancy
Rb1 Rb 0.0000 0.0000 0.5000 1
Rb2 Rb 0.0000 0.5000 0.0000 1
Rb3 Rb 0.5000 0.0000 0.0000 1
Ir1 Ir 0.0000 0.0000 0.0000 1
Pd1 Pd 0.5000 0.5000 0.5000 1
```

Results
Total magnetic moment ... 2.08 μB/f.u.
Space-group type ... Pm-3m
E_form ... 1.051 eV/atom

---

8.
Material: Re2IrPdRh
Method: DFT, meta-GGA SCAN
State: PBEsol geometry

Geometry as CIF:
```
data_Re2IrPdRh
_chemical_formula_sum 'Re2 Ir1 Pd1 Rh1'
_cell_length_a 4.5398
_cell_length_b 4.5398
_cell_length_c 4.6409
_cell_angle_alpha 90.00
_cell_angle_beta 90.00
_cell_angle_gamma 90.00
_space_group_name_H-M_alt 'P 1'
_space_group_IT_number 1
_space_group_name_Hall 'P 1'
loop_
_atom_site_label
_atom_site_type_symbol
_atom_site_fract_x
_atom_site_fract_y
_atom_site_fract_z
_atom_site_occupancy
Re1 Re 0.0000 0.5000 0.0000 1
Re2 Re 0.5000 0.0000 0.0000 1
Ir1 Ir 0.0000 0.0000 0.5000 1
Pd1 Pd 0.5000 0.5000 0.5000 1
Rh1 Rh 0.0000 0.0000 0.0000 1
```

Results
Total magnetic moment ... 1.25 μB/f.u.
Space-group type ... P4/mmm
E_form ... 2.330 eV/atom

---

9.
Material: IrPd3S
Method: DFT, meta-GGA SCAN
State: PBEsol geometry

Geometry as CIF:
```
data_IrPd3S
_chemical_formula_sum 'Ir1 Pd3 S1'
_cell_length_a 4.3288
_cell_length_b 4.3288
_cell_length_c 4.3288
_cell_angle_alpha 90.00
_cell_angle_beta 90.00
_cell_angle_gamma 90.00
_space_group_name_H-M_alt 'P 1'
_space_group_IT_number 1
_space_group_name_Hall 'P 1'
loop_
_atom_site_label
_atom_site_type_symbol
_atom_site_fract_x
_atom_site_fract_y
_atom_site_fract_z
_atom_site_occupancy
Ir1 Ir 0.0000 0.0000 0.0000 1
Pd1 Pd 0.0000 0.5000 0.5000 1
Pd2 Pd 0.5000 0.0000 0.5000 1
Pd3 Pd 0.5000 0.5000 0.0000 1
S1 S 0.5000 0.5000 0.5000 1
```

Results
Total magnetic moment ... 0.00 μB/f.u.
Space-group type ... Pm-3m
Formation energy (no corrections) ... 0.613 eV/atom

---

10.
Material: SbIrPdS2
Method: DFT, meta-GGA SCAN
State: PBEsol geometry

Geometry as CIF:
```
data_SbIrPdS2
_chemical_formula_sum 'Sb1 Ir1 Pd1 S2'
_cell_length_a 4.4458
_cell_length_b 4.4458
_cell_length_c 5.1649
_cell_angle_alpha 90.00
_cell_angle_beta 90.00
_cell_angle_gamma 90.00
_space_group_name_H-M_alt 'P 1'
_space_group_IT_number 1
_space_group_name_Hall 'P 1'
loop_
_atom_site_label
_atom_site_type_symbol
_atom_site_fract_x
_atom_site_fract_y
_atom_site_fract_z
_atom_site_occupancy
Sb1 Sb 0.0000 0.0000 0.0000 1
Ir1 Ir 0.5000 0.5000 0.0000 1
Pd1 Pd 0.0000 0.0000 0.5000 1
S1 S 0.0000 0.5000 0.5000 1
S2 S 0.5000 0.0000 0.5000 1
```

Results
Total magnetic moment ... 0.00 μB/f.u.
Space-group type ... P4/mmm
Formation energy (no corrections) ... 1.178 eV/atom